(1)
A plane-wave DFT calculation with meta-GGA SCAN was carried out for a PBEsol-optimized structure of SiAgMo2.

Lattice parameters (Å, degrees): 3.263 3.263 5.705 90.00 90.00 90.00
Atoms (fractional coordinates):
Si1 0.000 0.000 0.000
Ag1 0.500 0.500 0.232
Mo1 0.000 0.000 0.525
Mo2 0.500 0.500 0.740

Summary:
The calculation puts the volume at 60.73 Å³/cell. The value obtained for the total energy is -27.526 eV per atom. The value obtained for the raw formation energy is 25 kJ/mol of atoms. The density of states at the Fermi level is 0.739 states/eV/atom.

***

(2)
A plane-wave DFT calculation with meta-GGA SCAN was carried out for a PBEsol-optimized structure of CuB2Pb2O6.

Lattice parameters (Å, degrees): 5.670 8.742 6.064 90.00 114.92 90.00
Atoms (fractional coordinates):
Cu1 0.000 0.000 0.000
Cu2 0.000 0.500 0.500
B1 0.236 0.249 0.340
B2 0.236 0.251 0.840
B3 0.764 0.749 0.160
B4 0.764 0.751 0.660
Pb1 0.306 0.605 0.166
Pb2 0.306 0.895 0.666
Pb3 0.694 0.105 0.334
Pb4 0.694 0.395 0.834
O1 0.008 0.182 0.818
O2 0.008 0.318 0.318
O3 0.242 0.092 0.296
O4 0.242 0.408 0.796
O5 0.468 0.174 0.904
O6 0.468 0.326 0.404
O7 0.532 0.674 0.596
O8 0.532 0.826 0.096
O9 0.758 0.592 0.204
O10 0.758 0.908 0.704
O11 0.992 0.682 0.682
O12 0.992 0.818 0.182

Summary:
The calculation puts the volume at 272.57 Å³/cell. The value obtained for the total energy is -21.723 eV per atom. The value obtained for the raw formation energy is -175 kJ/mol of atoms. The density of states at the Fermi level is 0.000 states/eV/atom.

***

(3)
A plane-wave DFT calculation with meta-GGA SCAN was carried out for a PBEsol-optimized structure of SnH8N2Cl6.

Lattice parameters (Å, degrees): 7.009 7.009 7.009 60.00 60.00 60.00
Atoms (fractional coordinates):
Sn1 0.000 0.000 0.000
H1 0.069 0.310 0.310
H2 0.310 0.069 0.310
H3 0.310 0.310 0.069
H4 0.310 0.310 0.310
H5 0.690 0.690 0.690
H6 0.690 0.690 0.931
H7 0.690 0.931 0.690
H8 0.931 0.690 0.690
N1 0.250 0.250 0.250
N2 0.750 0.750 0.750
Cl1 0.247 0.247 0.753
Cl2 0.247 0.753 0.247
Cl3 0.247 0.753 0.753
Cl4 0.753 0.247 0.247
Cl5 0.753 0.247 0.753
Cl6 0.753 0.753 0.247

Summary:
The calculation puts the volume at 243.45 Å³/cell. The value obtained for the total energy is -8.451 eV per atom. The density of states at the Fermi level is 0.000 states/eV/atom.

***

(4)
A plane-wave DFT calculation with meta-GGA SCAN was carried out for a PBEsol-optimized structure of La3CuCl.

Lattice parameters (Å, degrees): 5.327 5.327 5.327 90.00 90.00 90.00
Atoms (fractional coordinates):
La1 0.000 0.000 0.500
La2 0.000 0.500 0.000
La3 0.500 0.000 0.000
Cu1 0.500 0.500 0.500
Cl1 0.000 0.000 0.000

Summary:
The calculation puts the volume at 151.18 Å³/cell. The value obtained for the total energy is -30.829 eV per atom. The value obtained for the raw formation energy is -32 kJ/mol of atoms. The density of states at the Fermi level is 0.718 states/eV/atom.

***

(5)
A plane-wave DFT calculation with meta-GGA SCAN was carried out for a PBEsol-optimized structure of CdInHg2.

Lattice parameters (Å, degrees): 3.371 4.944 5.865 90.00 106.23 90.00
Atoms (fractional coordinates):
Cd1 0.000 0.000 0.000
In1 0.228 0.500 0.515
Hg1 0.517 0.500 0.033
Hg2 0.710 0.000 0.475

Summary:
The energy of formation from the pure elements is 11 meV per atom. The calculation puts the volume at 93.86 Å³/cell. The value obtained for the total energy is -50.022 eV per atom. The density of states at the Fermi level is 0.362 states/eV/atom.

***

(6)
A plane-wave DFT calculation with meta-GGA SCAN was carried out for a PBEsol-optimized structure of FeRu2Se.

Lattice parameters (Å, degrees): 8.067 8.067 8.067 20.17 20.17 20.17
Atoms (fractional coordinates):
Fe1 0.000 0.000 0.000
Ru1 0.250 0.250 0.250
Ru2 0.750 0.750 0.750
Se1 0.500 0.500 0.500

Summary:
The calculation puts the volume at 54.60 Å³/cell. The value obtained for the total energy is -26.690 eV per atom. The value obtained for the raw formation energy is 27 kJ/mol of atoms. The density of states at the Fermi level is 0.787 states/eV/atom.

***

(7)
A plane-wave DFT calculation with meta-GGA SCAN was carried out for a PBEsol-optimized structure of La2Ag3.

Lattice parameters (Å, degrees): 9.312 9.312 9.312 157.23 157.23 32.42
Atoms (fractional coordinates):
La1 0.109 0.109 0.000
La2 0.891 0.891 0.000
Ag1 0.286 0.286 0.000
Ag2 0.500 0.500 0.000
Ag3 0.714 0.714 0.000

Summary:
The energy of formation from the pure elements is -283 meV per atom. The calculation puts the volume at 120.83 Å³/cell. The value obtained for the total energy is -36.345 eV per atom. The calculation puts the polymorph energy (0 for the lowest one) at 0 kJ/mol of formula units. The density of states at the Fermi level is 0.641 states/eV/atom.

***

(8)
A plane-wave DFT calculation with meta-GGA SCAN was carried out for a PBEsol-optimized structure of K2GaP2H3O8F2.

Lattice parameters (Å, degrees): 4.734 8.293 10.812 90.00 93.60 90.00
Atoms (fractional coordinates):
K1 0.011 0.103 0.332
K2 0.011 0.397 0.832
K3 0.989 0.603 0.168
K4 0.989 0.897 0.668
Ga1 0.000 0.000 0.000
Ga2 0.000 0.500 0.500
P1 0.482 0.738 0.415
P2 0.482 0.762 0.915
P3 0.518 0.238 0.085
P4 0.518 0.262 0.585
H1 0.439 0.657 0.725
H2 0.439 0.843 0.225
H3 0.500 0.000 0.500
H4 0.500 0.500 0.000
H5 0.561 0.157 0.775
H6 0.561 0.343 0.275
O1 0.251 0.189 0.007
O2 0.251 0.311 0.507
O3 0.258 0.607 0.393
O4 0.258 0.893 0.893
O5 0.347 0.612 0.974
O6 0.347 0.888 0.474
O7 0.412 0.210 0.716
O8 0.412 0.290 0.216
O9 0.588 0.710 0.784
O10 0.588 0.790 0.284
O11 0.653 0.112 0.526
O12 0.653 0.388 0.026
O13 0.742 0.107 0.107
O14 0.742 0.393 0.607
O15 0.749 0.689 0.493
O16 0.749 0.811 0.993
F1 0.184 0.591 0.650
F2 0.184 0.909 0.150
F3 0.816 0.091 0.850
F4 0.816 0.409 0.350

Summary:
The calculation puts the volume at 423.63 Å³/cell. The value obtained for the total energy is -8.970 eV per atom. The density of states at the Fermi level is 0.000 states/eV/atom.

***

(9)
A plane-wave DFT calculation with meta-GGA SCAN was carried out for a PBEsol-optimized structure of CaSm3.

Lattice parameters (Å, degrees): 7.267 7.267 5.793 90.00 90.00 120.00
Atoms (fractional coordinates):
Ca1 0.333 0.667 0.250
Ca2 0.667 0.333 0.750
Sm1 0.163 0.327 0.750
Sm2 0.163 0.837 0.750
Sm3 0.327 0.163 0.250
Sm4 0.673 0.837 0.750
Sm5 0.837 0.163 0.250
Sm6 0.837 0.673 0.250

Summary:
The energy of formation from the pure elements is 103 meV per atom. The calculation puts the volume at 264.89 Å³/cell. The value obtained for the total energy is -35.644 eV per atom. The density of states at the Fermi level is 1.218 states/eV/atom.

***

(10)
A plane-wave DFT calculation with meta-GGA SCAN was carried out for a PBEsol-optimized structure of ReRh.

Lattice parameters (Å, degrees): 4.620 4.620 4.620 130.41 130.41 72.75
Atoms (fractional coordinates):
Re1 0.375 0.625 0.750
Re2 0.625 0.375 0.250
Rh1 0.125 0.875 0.250
Rh2 0.875 0.125 0.750

Summary:
The energy of formation from the pure elements is -70 meV per atom. The calculation puts the volume at 55.83 Å³/cell. The value obtained for the total energy is -52.505 eV per atom. The calculation puts the polymorph energy (0 for the lowest one) at 28 kJ/mol of formula units. The density of states at the Fermi level is 0.751 states/eV/atom.

***

(11)
A plane-wave DFT calculation with meta-GGA SCAN was carried out for a PBEsol-optimized structure of FeSiAs3.

Lattice parameters (Å, degrees): 4.656 4.656 4.656 90.00 90.00 90.00
Atoms (fractional coordinates):
Fe1 0.000 0.000 0.000
Si1 0.500 0.500 0.500
As1 0.000 0.500 0.500
As2 0.500 0.000 0.500
As3 0.500 0.500 0.000

Summary:
The calculation puts the volume at 100.91 Å³/cell. The value obtained for the total energy is -16.705 eV per atom. The value obtained for the raw formation energy is 100 kJ/mol of atoms. The density of states at the Fermi level is 0.941 states/eV/atom.

***

(12)
A plane-wave DFT calculation with meta-GGA SCAN was carried out for a PBEsol-optimized structure of SrY2Pb.

Lattice parameters (Å, degrees): 3.719 3.719 9.482 90.00 90.00 90.00
Atoms (fractional coordinates):
Sr1 0.000 0.000 0.000
Y1 0.000 0.000 0.557
Y2 0.500 0.500 0.313
Pb1 0.500 0.500 0.761

Summary:
The energy of formation from the pure elements is -321 meV per atom. The calculation puts the volume at 131.17 Å³/cell. The value obtained for the total energy is -38.757 eV per atom. The density of states at the Fermi level is 0.792 states/eV/atom.

***

- Which formula does entry 2 have?
  CuB2Pb2O6

***

- Which value of volume does entry 2 give?
  272.57 Å³/cell

***

- The lowest volume belongs to which entry?
  FeRu2Se

***

- Which of these has the lowest volume?
  FeRu2Se